Density functional theory data (GGA+U) for an optimized crystal structure of Ca2MoIrO6.

The structure in extended XYZ format:
```
10
Lattice="4.068 0.000 0.000 0.000 5.619 0.000 0.000 0.000 5.619" Properties=species:S:1:pos:R:3 pbc="T T T"
O 2.763 1.399 1.399
O 2.763 4.220 1.399
O 0.640 2.809 2.809
O 2.763 1.399 4.220
O 0.614 0.000 0.000
O 2.763 4.220 4.220
Ca 0.254 2.809 0.000
Ca 0.254 0.000 2.809
Ir 2.662 2.809 2.809
Mo 2.614 0.000 0.000
```

Results
E = -6.77 eV per atom
Calculated volume = 128.4 Å³/f.u.
Space-group type = P4mm
Total magnetization = 1.105 μB/f.u.